(1)
5
Lattice="5.333 0.000 0.000 0.000 5.333 0.000 0.000 0.000 5.013" Properties=species:S:1:pos:R:3 comment="FeTeI2N meta-GGA SCAN PBEsol geometry" de_polymorph_ev_per_fu=0.28 pbc="T T T"
Fe 0.000 0.000 0.000
Te 0.000 0.000 2.507
I 0.000 2.667 0.000
I 2.667 0.000 0.000
N 2.667 2.667 2.507

(2)
Entry from Alexandria via LeMat-Bulk: a crystal of ZrFeIN2 relaxed with PBEsol (meta-GGA SCAN).

Geometry as extended XYZ:
```
5
Lattice="4.086 0.000 0.000 0.000 4.086 0.000 0.000 0.000 5.893" Properties=species:S:1:pos:R:3 pbc="T T T"
Zr 0.000 0.000 0.000
Fe 2.043 2.043 2.947
I 0.000 0.000 2.947
N 0.000 2.043 0.000
N 2.043 0.000 0.000
```

(3)
Entry from Alexandria via LeMat-Bulk: a crystal of Na2ZnFeI relaxed with PBEsol (meta-GGA SCAN).

Geometry as extended XYZ:
```
5
Lattice="5.823 0.000 0.000 0.000 5.823 0.000 0.000 0.000 4.709" Properties=species:S:1:pos:R:3 pbc="T T T"
Na 0.000 2.911 0.000
Na 2.911 0.000 0.000
Zn 0.000 0.000 2.354
Fe 2.911 2.911 2.354
I 2.911 2.911 0.000
```

(4)
Entry from Alexandria via LeMat-Bulk: a crystal of NbFeI2O relaxed with PBEsol (meta-GGA SCAN).

Geometry as extended XYZ:
```
5
Lattice="5.272 0.000 0.000 0.000 5.272 0.000 0.000 0.000 3.436" Properties=species:S:1:pos:R:3 pbc="T T T"
Nb 0.000 0.000 0.000
Fe 2.636 2.636 1.718
I 0.000 2.636 1.718
I 2.636 0.000 1.718
O 2.636 2.636 0.000
```

Theoretical density for every record listed, in sequence, given in g/cm3: 5.26 5.10 3.06 7.28.
Energy relative to the elements, uncorrected for every record listed, in sequence, given in eV per atom: 1.136 0.516 0.569 0.041.